one) This record from Alexandria describes a relaxed VHgCl2 crystal. The functional is PBE.

abc: 10.7674 10.7674 10.7674
angles: 19.42 19.42 19.42
Fractional positions:
1 V 0.0000 0.0000 0.0000
2 Hg 0.5000 0.5000 0.5000
3 Cl 0.3757 0.3757 0.3757
4 Cl 0.6243 0.6243 0.6243

Theoretical density: 4.44 Mg/m³

***

two) This record from Alexandria describes a relaxed VHgCl2 crystal. The functional is PBE.

abc: 6.9863 6.9863 6.9863
angles: 113.00 113.00 102.63
Fractional positions:
1 V 0.0000 0.0000 0.0000
2 V 0.7500 0.2500 0.5000
3 Hg 0.2500 0.7500 0.5000
4 Hg 0.5000 0.5000 0.0000
5 Cl 0.3750 0.2265 0.3515
6 Cl 0.7735 0.1250 0.1485
7 Cl 0.8750 0.0235 0.6485
8 Cl 0.9765 0.6250 0.8515

N(E_F): 1.69 states/eV/f.u.
Theoretical density: 4.12 Mg/m³

***

How far above the most stable structure does each one sit? In meV/atom: one) 0; two) 240.

***

one) This record from Alexandria describes a relaxed HgWCl2 crystal. The functional is PBE.

abc: 3.3277 3.3277 9.6811
angles: 90.00 90.00 124.43
Fractional positions:
1 Hg 0.0000 0.0000 0.0000
2 W 0.5000 0.5000 0.2443
3 Cl 0.0000 0.0000 0.4348
4 Cl 0.5000 0.5000 0.7888

N(E_F): 1.83 states/eV/f.u.
Theoretical density: 8.55 Mg/m³

***

two) This record from Alexandria describes a relaxed HgWCl2 crystal. The functional is PBE.

abc: 10.7822 10.7822 10.7822
angles: 16.76 16.76 16.76
Fractional positions:
1 Hg 0.0000 0.0000 0.0000
2 W 0.5000 0.5000 0.5000
3 Cl 0.2212 0.2212 0.2212
4 Cl 0.7788 0.7788 0.7788

N(E_F): 4.42 states/eV/f.u.
Theoretical density: 8.32 Mg/m³

***

How far above the most stable structure does each one sit? In meV/atom: one) 268; two) 0.

***

one) This record from Alexandria describes a relaxed HgWCl2 crystal. The functional is PBE.

abc: 3.0661 3.0661 9.7707
angles: 90.00 90.00 90.00
Fractional positions:
1 Hg 0.0000 0.0000 0.0000
2 W 0.0000 0.0000 0.5000
3 Cl 0.5000 0.5000 0.3486
4 Cl 0.5000 0.5000 0.6514

N(E_F): 3.62 states/eV/f.u.
Theoretical density: 8.23 Mg/m³

***

two) This record from Alexandria describes a relaxed HgWCl2 crystal. The functional is PBE.

abc: 5.2666 5.2666 3.0226
angles: 90.00 90.00 90.00
Fractional positions:
1 Hg 0.0000 0.0000 0.0000
2 W 0.5000 0.5000 0.0000
3 Cl 0.0000 0.5000 0.5000
4 Cl 0.5000 0.0000 0.5000

N(E_F): 2.33 states/eV/f.u.
Theoretical density: 9.02 Mg/m³

***

three) This record from Alexandria describes a relaxed HgWCl2 crystal. The functional is PBE.

abc: 4.9490 4.9490 4.9490
angles: 60.00 60.00 60.00
Fractional positions:
1 Hg 0.0000 0.0000 0.0000
2 W 0.7500 0.7500 0.7500
3 Cl 0.2500 0.2500 0.2500
4 Cl 0.5000 0.5000 0.5000

N(E_F): 4.83 states/eV/f.u.
Theoretical density: 8.82 Mg/m³

***

four) This record from Alexandria describes a relaxed HgWCl2 crystal. The functional is PBE.

abc: 3.0752 4.6002 5.6598
angles: 90.00 90.00 90.00
Fractional positions:
1 Hg 0.0000 0.0000 0.0000
2 W 0.5000 0.0000 0.5000
3 Cl 0.0000 0.5000 0.5000
4 Cl 0.5000 0.5000 0.0000

N(E_F): 2.92 states/eV/f.u.
Theoretical density: 9.44 Mg/m³

***

How far above the most stable structure does each one sit? In meV/atom: one) 0; two) 672; three) 681; four) 457.

***

one) This record from Alexandria describes a relaxed HgWCl2 crystal. The functional is PBE.

abc: 2.9251 4.0354 7.3453
angles: 90.00 90.00 90.00
Fractional positions:
1 Hg 0.0000 0.0000 0.0000
2 W 0.5000 0.5000 0.3254
3 Cl 0.0000 0.0000 0.4010
4 Cl 0.5000 0.5000 0.6439

N(E_F): 2.65 states/eV/f.u.
Theoretical density: 8.72 Mg/m³

***

two) This record from Alexandria describes a relaxed HgWCl2 crystal. The functional is PBE.

abc: 5.5527 5.5527 2.9723
angles: 100.95 100.95 114.33
Fractional positions:
1 Hg 0.0000 0.0000 0.0000
2 W 0.5000 0.5000 0.0000
3 Cl 0.0000 0.5000 0.0000
4 Cl 0.5000 0.0000 0.0000

N(E_F): 2.76 states/eV/f.u.
Theoretical density: 9.67 Mg/m³

***

three) This record from Alexandria describes a relaxed HgWCl2 crystal. The functional is PBE.

abc: 5.6279 5.6279 5.6279
angles: 135.73 135.73 64.39
Fractional positions:
1 Hg 0.0000 0.0000 0.0000
2 W 0.2500 0.7500 0.5000
3 Cl 0.5000 0.5000 0.0000
4 Cl 0.7500 0.2500 0.5000

N(E_F): 0.98 states/eV/f.u.
Theoretical density: 8.83 Mg/m³

***

How far above the most stable structure does each one sit? In meV/atom: one) 0; two) 343; three) 541.